No. 1
Material: HfIO3
Method: DFT, PBE
State: relaxed

It has space group Pm-3m (No. 221), with a = 4.143 Å, b = 4.143 Å, c = 4.143 Å, α = 90.00°, β = 90.00° and γ = 90.00°. The distinct sites, in fractional coordinates, are Hf at (0.000, 0.000, 0.000), I at (0.500, 0.500, 0.500) and O at (0.000, 0.000, 0.500).

The calculation puts the density of states at the Fermi level at 0.77 states/eV/atom. Its total energy is -34.43 eV/f.u.

No. 2
Material: GaTePd14
Method: DFT, PBE
State: relaxed

It has space group Amm2 (No. 38), with a = 9.038 Å, b = 5.915 Å, c = 9.439 Å, α = 90.00°, β = 90.00° and γ = 90.00°. The distinct sites, in fractional coordinates, are Ga at (0.000, 0.000, 0.000), Te at (0.000, 0.000, 0.506), Pd at (0.000, 0.247, 0.261), Pd at (0.241, 0.245, 0.068), Pd at (0.251, 0.000, 0.819), Pd at (0.256, 0.000, 0.319), Pd at (0.500, 0.000, 0.133), Pd at (0.500, 0.000, 0.634) and Pd at (0.500, 0.248, 0.885).

The calculation puts the density of states at the Fermi level at 1.32 states/eV/atom. Its total energy is -80.92 eV/f.u.